# 1
# Pr5Dy3Sb8 | the Alexandria database | PBE | optimized geometry
# E = -5.58 eV per atom
data_Pr5Dy3Sb8
_chemical_formula_sum 'Pr15 Dy9 Sb24'
_symmetry_space_group_name_H-M 'R -3 m'
_symmetry_Int_Tables_number 166
_symmetry_space_group_name_Hall '-R 3 2"'
_cell_length_a 8.9915
_cell_length_b 8.9915
_cell_length_c 22.0071
_cell_angle_alpha 90.00
_cell_angle_beta 90.00
_cell_angle_gamma 120.00
loop_
_atom_site_label
_atom_site_fract_x
_atom_site_fract_y
_atom_site_fract_z
_atom_site_occupancy
Pr1 0.0000 0.0000 0.0000 1
Pr2 0.0000 0.0000 0.5000 1
Pr3 0.0000 0.5000 0.0000 1
Dy1 0.0000 0.5000 0.5000 1
Sb1 0.0000 0.0000 0.2463 1
Sb2 0.0049 0.5025 0.7525 1

---

# 2
# Pr5DySb5 | the Alexandria database | PBE | optimized geometry
# E = -5.46 eV per atom
data_Pr5DySb5
_chemical_formula_sum 'Pr10 Dy2 Sb10'
_symmetry_space_group_name_H-M 'C 1 2/m 1'
_symmetry_Int_Tables_number 12
_symmetry_space_group_name_Hall '-C 2y'
_cell_length_a 14.194
_cell_length_b 6.361
_cell_length_c 8.969
_cell_angle_alpha 90.00
_cell_angle_beta 108.65
_cell_angle_gamma 90.00
loop_
_atom_site_label
_atom_site_fract_x
_atom_site_fract_y
_atom_site_fract_z
_atom_site_occupancy
Pr1 0.000 0.000 0.000 1
Pr2 0.165 0.500 0.333 1
Pr3 0.171 0.500 0.832 1
Dy1 0.000 0.000 0.500 1
Sb1 0.000 0.500 0.500 1
Sb2 0.164 0.000 0.829 1
Sb3 0.165 0.000 0.337 1

---

# 3
# Pr2Dy3Sb2 | the Alexandria database | PBE | optimized geometry
# E = -5.17 eV per atom
data_Pr2Dy3Sb2
_chemical_formula_sum 'Pr4 Dy6 Sb4'
_symmetry_space_group_name_H-M 'C 1 2/m 1'
_symmetry_Int_Tables_number 12
_symmetry_space_group_name_Hall '-C 2y'
_cell_length_a 12.303
_cell_length_b 4.315
_cell_length_c 8.742
_cell_angle_alpha 90.00
_cell_angle_beta 110.27
_cell_angle_gamma 90.00
loop_
_atom_site_label
_atom_site_fract_x
_atom_site_fract_y
_atom_site_fract_z
_atom_site_occupancy
Pr1 0.135 0.000 0.296 1
Dy1 0.000 0.500 0.500 1
Dy2 0.126 0.500 0.948 1
Sb1 0.167 0.000 0.705 1

---

# 4
# PrDySb2 | the Alexandria database | PBE | optimized geometry
# E = -5.44 eV per atom
data_PrDySb2
_chemical_formula_sum 'Pr3 Dy3 Sb6'
_symmetry_space_group_name_H-M 'R 3 m'
_symmetry_Int_Tables_number 160
_symmetry_space_group_name_Hall 'R 3 -2"'
_cell_length_a 4.4401
_cell_length_b 4.4401
_cell_length_c 22.7606
_cell_angle_alpha 90.00
_cell_angle_beta 90.00
_cell_angle_gamma 120.00
loop_
_atom_site_label
_atom_site_fract_x
_atom_site_fract_y
_atom_site_fract_z
_atom_site_occupancy
Pr1 0.0000 0.0000 0.0000 1
Dy1 0.0000 0.0000 0.1711 1
Sb1 0.0000 0.0000 0.4213 1
Sb2 0.0000 0.0000 0.5836 1

---

# 5
# PrDySb | the Alexandria database | PBE | optimized geometry
# E = -5.14 eV per atom
data_PrDySb
_chemical_formula_sum 'Pr2 Dy2 Sb2'
_symmetry_space_group_name_H-M 'I 4 m m'
_symmetry_Int_Tables_number 107
_symmetry_space_group_name_Hall 'I 4 -2'
_cell_length_a 4.095
_cell_length_b 4.095
_cell_length_c 10.398
_cell_angle_alpha 90.00
_cell_angle_beta 90.00
_cell_angle_gamma 90.00
loop_
_atom_site_label
_atom_site_fract_x
_atom_site_fract_y
_atom_site_fract_z
_atom_site_occupancy
Pr1 0.000 0.000 0.000 1
Dy1 0.000 0.000 0.694 1
Sb1 0.000 0.000 0.335 1

---

# 6
# Pr4DySb5 | the Alexandria database | PBE | optimized geometry
# E = -5.61 eV per atom
data_Pr4DySb5
_chemical_formula_sum 'Pr8 Dy2 Sb10'
_symmetry_space_group_name_H-M 'I 4/m'
_symmetry_Int_Tables_number 87
_symmetry_space_group_name_Hall '-I 4'
_cell_length_a 10.116
_cell_length_b 10.116
_cell_length_c 6.403
_cell_angle_alpha 90.00
_cell_angle_beta 90.00
_cell_angle_gamma 90.00
loop_
_atom_site_label
_atom_site_fract_x
_atom_site_fract_y
_atom_site_fract_z
_atom_site_occupancy
Pr1 0.098 0.700 0.000 1
Dy1 0.000 0.000 0.500 1
Sb1 0.000 0.000 0.000 1
Sb2 0.099 0.706 0.500 1

---

The highest E belongs to which entry? PrDySb

---

Look up the E of the fifth one. -5.14 eV per atom